Entry 1:
# Be2MoOs PBE relaxed
data_Be2MoOs
_symmetry_space_group_name_H-M 'I m m 2'
_symmetry_Int_Tables_number 44
_cell_length_a 2.930
_cell_length_b 4.024
_cell_length_c 7.940
_cell_angle_alpha 90.00
_cell_angle_beta 90.00
_cell_angle_gamma 90.00
loop_
_symmetry_equiv_pos_as_xyz
'x,y,z'
'-x,-y,z'
'-x,y,z'
'x,-y,z'
'x+1/2,y+1/2,z+1/2'
'-x+1/2,-y+1/2,z+1/2'
'-x+1/2,y+1/2,z+1/2'
'x+1/2,-y+1/2,z+1/2'
loop_
_atom_site_label
_atom_site_type_symbol
_atom_site_fract_x
_atom_site_fract_y
_atom_site_fract_z
_atom_site_occupancy
Be1 Be 0.000 0.000 0.000 1
Be2 Be 0.000 0.500 0.291 1
Mo1 Mo 0.000 0.500 0.759 1
Os1 Os 0.000 0.000 0.538 1
# Energy relative to the elements: -0.052 eV per atom
# Fermi-level density of states: 0.556 states/eV/atom
# Energy above the most stable polymorph in this dataset: 114 meV per atom
# Crystal system: orthorhombic
# Final energy: -7.4300 eV/atom

Entry 2:
# Be4MoOs PBE relaxed
data_Be4MoOs
_symmetry_space_group_name_H-M 'F -4 3 m'
_symmetry_Int_Tables_number 216
_symmetry_space_group_name_Hall 'F -4 2 3'
_cell_length_a 6.214
_cell_length_b 6.214
_cell_length_c 6.214
_cell_angle_alpha 90.00
_cell_angle_beta 90.00
_cell_angle_gamma 90.00
loop_
_atom_site_label
_atom_site_type_symbol
_atom_site_fract_x
_atom_site_fract_y
_atom_site_fract_z
_atom_site_occupancy
Be1 Be 0.124 0.124 0.376 1
Mo1 Mo 0.250 0.250 0.750 1
Os1 Os 0.000 0.000 0.000 1
# Energy relative to the elements: -0.352 eV per atom
# Fermi-level density of states: 0.574 states/eV/atom
# Crystal system: cubic
# Final energy: -6.5129 eV/atom

Entry 3:
# BeMoOsSe2 PBE relaxed
data_BeMoOsSe2
_symmetry_space_group_name_H-M 'P 4/m m m'
_symmetry_Int_Tables_number 123
_symmetry_space_group_name_Hall '-P 4 2'
_cell_length_a 4.811
_cell_length_b 4.811
_cell_length_c 4.899
_cell_angle_alpha 90.00
_cell_angle_beta 90.00
_cell_angle_gamma 90.00
loop_
_atom_site_label
_atom_site_type_symbol
_atom_site_fract_x
_atom_site_fract_y
_atom_site_fract_z
_atom_site_occupancy
Be1 Be 0.000 0.000 0.000 1
Mo1 Mo 0.500 0.500 0.500 1
Os1 Os 0.500 0.500 0.000 1
Se1 Se 0.000 0.500 0.500 1
# Fermi-level density of states: 0.913 states/eV/atom
# Crystal system: tetragonal
# Final energy: -5.1277 eV/atom

Entry 4:
# BeTcMoOs PBE relaxed
data_BeTcMoOs
_symmetry_space_group_name_H-M 'F -4 3 m'
_symmetry_Int_Tables_number 216
_symmetry_space_group_name_Hall 'F -4 2 3'
_cell_length_a 6.026
_cell_length_b 6.026
_cell_length_c 6.026
_cell_angle_alpha 90.00
_cell_angle_beta 90.00
_cell_angle_gamma 90.00
loop_
_atom_site_label
_atom_site_type_symbol
_atom_site_fract_x
_atom_site_fract_y
_atom_site_fract_z
_atom_site_occupancy
Be1 Be 0.000 0.000 0.000 1
Tc1 Tc 0.250 0.250 0.750 1
Mo1 Mo 0.000 0.000 0.500 1
Os1 Os 0.250 0.250 0.250 1
# Energy relative to the elements: 0.001 eV per atom
# Fermi-level density of states: 0.596 states/eV/atom
# Crystal system: cubic
# Final energy: -9.0370 eV/atom

Entry 5:
# BeMo2OsW PBE relaxed
data_BeMo2OsW
_symmetry_space_group_name_H-M 'P 4/m m m'
_symmetry_Int_Tables_number 123
_symmetry_space_group_name_Hall '-P 4 2'
_cell_length_a 4.210
_cell_length_b 4.210
_cell_length_c 4.115
_cell_angle_alpha 90.00
_cell_angle_beta 90.00
_cell_angle_gamma 90.00
loop_
_atom_site_label
_atom_site_type_symbol
_atom_site_fract_x
_atom_site_fract_y
_atom_site_fract_z
_atom_site_occupancy
Be1 Be 0.000 0.000 0.000 1
Mo1 Mo 0.000 0.500 0.000 1
Os1 Os 0.000 0.000 0.500 1
W1 W 0.500 0.500 0.500 1
# Energy relative to the elements: 0.620 eV per atom
# Fermi-level density of states: 1.101 states/eV/atom
# Crystal system: tetragonal
# Final energy: -9.2945 eV/atom

Entry 6:
# BeMoP PBE relaxed
data_BeMoP
_symmetry_space_group_name_H-M 'P 3 m 1'
_symmetry_Int_Tables_number 156
_cell_length_a 3.8898
_cell_length_b 3.8898
_cell_length_c 2.9945
_cell_angle_alpha 90.00
_cell_angle_beta 90.00
_cell_angle_gamma 120.00
loop_
_symmetry_equiv_pos_as_xyz
'x,y,z'
'-y,x-y,z'
'-x+y,-x,z'
'-y,-x,z'
'-x+y,y,z'
'x,x-y,z'
loop_
_atom_site_label
_atom_site_type_symbol
_atom_site_fract_x
_atom_site_fract_y
_atom_site_fract_z
_atom_site_occupancy
Be1 Be 0.0000 0.0000 0.0000 1
Mo1 Mo 0.6667 0.3333 0.5804 1
P1 P 0.3333 0.6667 0.7830 1
# Energy relative to the elements: 0.085 eV per atom
# Fermi-level density of states: 0.462 states/eV/atom
# Energy above the most stable polymorph in this dataset: 378 meV per atom
# Crystal system: trigonal
# Final energy: -6.5705 eV/atom

Entry 7:
# BeMoP2 PBE relaxed
data_BeMoP2
_symmetry_space_group_name_H-M 'A m m 2'
_symmetry_Int_Tables_number 38
_cell_length_a 3.216
_cell_length_b 3.174
_cell_length_c 10.705
_cell_angle_alpha 90.00
_cell_angle_beta 90.00
_cell_angle_gamma 90.00
loop_
_symmetry_equiv_pos_as_xyz
'x,y,z'
'-x,-y,z'
'-x,y,z'
'x,-y,z'
'x,y+1/2,z+1/2'
'-x,-y+1/2,z+1/2'
'-x,y+1/2,z+1/2'
'x,-y+1/2,z+1/2'
loop_
_atom_site_label
_atom_site_type_symbol
_atom_site_fract_x
_atom_site_fract_y
_atom_site_fract_z
_atom_site_occupancy
Be1 Be 0.000 0.000 0.000 1
Mo1 Mo 0.500 0.000 0.811 1
P1 P 0.000 0.000 0.209 1
P2 P 0.500 0.000 0.486 1
# Energy relative to the elements: -0.275 eV per atom
# Fermi-level density of states: 0.190 states/eV/atom
# Crystal system: orthorhombic
# Final energy: -6.6197 eV/atom

Entry 8:
# BeMoP PBE relaxed
data_BeMoP
_symmetry_space_group_name_H-M 'P 1 21/m 1'
_symmetry_Int_Tables_number 11
_cell_length_a 4.715
_cell_length_b 3.217
_cell_length_c 5.424
_cell_angle_alpha 90.00
_cell_angle_beta 108.71
_cell_angle_gamma 90.00
loop_
_symmetry_equiv_pos_as_xyz
'x,y,z'
'-x,-y,-z'
'-x,y+1/2,-z'
'x,-y+1/2,z'
loop_
_atom_site_label
_atom_site_type_symbol
_atom_site_fract_x
_atom_site_fract_y
_atom_site_fract_z
_atom_site_occupancy
Be1 Be 0.157 0.250 0.395 1
Mo1 Mo 0.214 0.250 0.924 1
P1 P 0.386 0.750 0.673 1
# Energy relative to the elements: -0.192 eV per atom
# Fermi-level density of states: 0.296 states/eV/atom
# Energy above the most stable polymorph in this dataset: 100 meV per atom
# Crystal system: monoclinic
# Final energy: -6.8477 eV/atom

Entry 9:
# Be2Mo2P PBE relaxed
data_Be2Mo2P
_symmetry_space_group_name_H-M 'I 4/m m m'
_symmetry_Int_Tables_number 139
_symmetry_space_group_name_Hall '-I 4 2'
_cell_length_a 3.540
_cell_length_b 3.540
_cell_length_c 11.259
_cell_angle_alpha 90.00
_cell_angle_beta 90.00
_cell_angle_gamma 90.00
loop_
_atom_site_label
_atom_site_type_symbol
_atom_site_fract_x
_atom_site_fract_y
_atom_site_fract_z
_atom_site_occupancy
Be1 Be 0.000 0.000 0.090 1
Mo1 Mo 0.000 0.500 0.250 1
P1 P 0.000 0.000 0.500 1
# Energy relative to the elements: 0.709 eV per atom
# Fermi-level density of states: 0.562 states/eV/atom
# Energy above the most stable polymorph in this dataset: 872 meV per atom
# Crystal system: tetragonal
# Final energy: -6.1956 eV/atom

Entry 10:
# BeMo2P PBE relaxed
data_BeMo2P
_symmetry_space_group_name_H-M 'P 4/m m m'
_symmetry_Int_Tables_number 123
_symmetry_space_group_name_Hall '-P 4 2'
_cell_length_a 2.952
_cell_length_b 2.952
_cell_length_c 5.973
_cell_angle_alpha 90.00
_cell_angle_beta 90.00
_cell_angle_gamma 90.00
loop_
_atom_site_label
_atom_site_type_symbol
_atom_site_fract_x
_atom_site_fract_y
_atom_site_fract_z
_atom_site_occupancy
Be1 Be 0.000 0.000 0.000 1
Mo1 Mo 0.500 0.500 0.254 1
P1 P 0.000 0.000 0.500 1
# Energy relative to the elements: -0.024 eV per atom
# Fermi-level density of states: 0.916 states/eV/atom
# Energy above the most stable polymorph in this dataset: 317 meV per atom
# Crystal system: tetragonal
# Final energy: -7.7237 eV/atom

Entry 11:
# BeMoP PBE relaxed
data_BeMoP
_symmetry_space_group_name_H-M 'F -4 3 m'
_symmetry_Int_Tables_number 216
_symmetry_space_group_name_Hall 'F -4 2 3'
_cell_length_a 5.476
_cell_length_b 5.476
_cell_length_c 5.476
_cell_angle_alpha 90.00
_cell_angle_beta 90.00
_cell_angle_gamma 90.00
loop_
_atom_site_label
_atom_site_type_symbol
_atom_site_fract_x
_atom_site_fract_y
_atom_site_fract_z
_atom_site_occupancy
Be1 Be 0.000 0.000 0.000 1
Mo1 Mo 0.000 0.000 0.500 1
P1 P 0.250 0.250 0.750 1
# Energy relative to the elements: 0.010 eV per atom
# Fermi-level density of states: 0.915 states/eV/atom
# Energy above the most stable polymorph in this dataset: 302 meV per atom
# Crystal system: cubic
# Final energy: -6.6460 eV/atom

Entry 12:
# BeMoP PBE relaxed
data_BeMoP
_symmetry_space_group_name_H-M 'F m m 2'
_symmetry_Int_Tables_number 42
_symmetry_space_group_name_Hall 'F 2 -2'
_cell_length_a 3.149
_cell_length_b 4.463
_cell_length_c 11.209
_cell_angle_alpha 90.00
_cell_angle_beta 90.00
_cell_angle_gamma 90.00
loop_
_atom_site_label
_atom_site_type_symbol
_atom_site_fract_x
_atom_site_fract_y
_atom_site_fract_z
_atom_site_occupancy
Be1 Be 0.000 0.000 0.000 1
Mo1 Mo 0.000 0.000 0.328 1
P1 P 0.000 0.000 0.655 1
# Energy relative to the elements: 0.342 eV per atom
# Fermi-level density of states: 0.834 states/eV/atom
# Energy above the most stable polymorph in this dataset: 634 meV per atom
# Crystal system: orthorhombic
# Final energy: -6.3141 eV/atom

Entry 13:
# BeMoP PBE relaxed
data_BeMoP
_symmetry_space_group_name_H-M 'F -4 3 m'
_symmetry_Int_Tables_number 216
_symmetry_space_group_name_Hall 'F -4 2 3'
_cell_length_a 5.593
_cell_length_b 5.593
_cell_length_c 5.593
_cell_angle_alpha 90.00
_cell_angle_beta 90.00
_cell_angle_gamma 90.00
loop_
_atom_site_label
_atom_site_type_symbol
_atom_site_fract_x
_atom_site_fract_y
_atom_site_fract_z
_atom_site_occupancy
Be1 Be 0.000 0.000 0.000 1
Mo1 Mo 0.250 0.250 0.750 1
P1 P 0.000 0.000 0.500 1
# Energy relative to the elements: 0.364 eV per atom
# Fermi-level density of states: 1.155 states/eV/atom
# Energy above the most stable polymorph in this dataset: 656 meV per atom
# Crystal system: cubic
# Final energy: -6.2922 eV/atom

Entry 14:
# BeMoP2 PBE relaxed
data_BeMoP2
_symmetry_space_group_name_H-M 'P 4 m m'
_symmetry_Int_Tables_number 99
_cell_length_a 3.251
_cell_length_b 3.251
_cell_length_c 4.903
_cell_angle_alpha 90.00
_cell_angle_beta 90.00
_cell_angle_gamma 90.00
loop_
_symmetry_equiv_pos_as_xyz
'x,y,z'
'-y,x,z'
'-x,-y,z'
'y,-x,z'
'-x,y,z'
'y,x,z'
'x,-y,z'
'-y,-x,z'
loop_
_atom_site_label
_atom_site_type_symbol
_atom_site_fract_x
_atom_site_fract_y
_atom_site_fract_z
_atom_site_occupancy
Be1 Be 0.000 0.000 0.000 1
Mo1 Mo 0.500 0.500 0.327 1
P1 P 0.000 0.000 0.512 1
P2 P 0.500 0.500 0.834 1
# Energy relative to the elements: -0.036 eV per atom
# Fermi-level density of states: 0.654 states/eV/atom
# Crystal system: tetragonal
# Final energy: -6.3806 eV/atom

Entry 15:
# BeMo2P PBE relaxed
data_BeMo2P
_symmetry_space_group_name_H-M 'R -3 m'
_symmetry_Int_Tables_number 166
_symmetry_space_group_name_Hall '-R 3 2"'
_cell_length_a 2.8891
_cell_length_b 2.8891
_cell_length_c 22.8502
_cell_angle_alpha 90.00
_cell_angle_beta 90.00
_cell_angle_gamma 120.00
loop_
_atom_site_label
_atom_site_type_symbol
_atom_site_fract_x
_atom_site_fract_y
_atom_site_fract_z
_atom_site_occupancy
Be1 Be 0.0000 0.0000 0.0000 1
Mo1 Mo 0.0000 0.0000 0.2487 1
P1 P 0.0000 0.0000 0.5000 1
# Energy relative to the elements: 0.118 eV per atom
# Fermi-level density of states: 0.756 states/eV/atom
# Energy above the most stable polymorph in this dataset: 459 meV per atom
# Crystal system: trigonal
# Final energy: -7.5814 eV/atom

Entry 16:
# BeMo2P PBE relaxed
data_BeMo2P
_symmetry_space_group_name_H-M 'C 1 m 1'
_symmetry_Int_Tables_number 8
_cell_length_a 8.717
_cell_length_b 2.931
_cell_length_c 4.228
_cell_angle_alpha 90.00
_cell_angle_beta 104.84
_cell_angle_gamma 90.00
loop_
_symmetry_equiv_pos_as_xyz
'x,y,z'
'x,-y,z'
'x+1/2,y+1/2,z'
'x+1/2,-y+1/2,z'
loop_
_atom_site_label
_atom_site_type_symbol
_atom_site_fract_x
_atom_site_fract_y
_atom_site_fract_z
_atom_site_occupancy
Be1 Be 0.000 0.000 0.000 1
Mo1 Mo 0.035 0.500 0.525 1
Mo2 Mo 0.249 0.500 0.166 1
P1 P 0.283 0.000 0.704 1
# Energy relative to the elements: -0.097 eV per atom
# Fermi-level density of states: 0.777 states/eV/atom
# Energy above the most stable polymorph in this dataset: 243 meV per atom
# Crystal system: monoclinic
# Final energy: -7.7970 eV/atom

Entry 17:
# BeMoP2 PBE relaxed
data_BeMoP2
_symmetry_space_group_name_H-M 'P 4/m m m'
_symmetry_Int_Tables_number 123
_symmetry_space_group_name_Hall '-P 4 2'
_cell_length_a 3.146
_cell_length_b 3.146
_cell_length_c 5.147
_cell_angle_alpha 90.00
_cell_angle_beta 90.00
_cell_angle_gamma 90.00
loop_
_atom_site_label
_atom_site_type_symbol
_atom_site_fract_x
_atom_site_fract_y
_atom_site_fract_z
_atom_site_occupancy
Be1 Be 0.000 0.000 0.000 1
Mo1 Mo 0.000 0.000 0.500 1
P1 P 0.500 0.500 0.243 1
# Energy relative to the elements: -0.048 eV per atom
# Fermi-level density of states: 0.672 states/eV/atom
# Crystal system: tetragonal
# Final energy: -6.3925 eV/atom

Entry 18:
# Be4MoP PBE relaxed
data_Be4MoP
_symmetry_space_group_name_H-M 'F -4 3 m'
_symmetry_Int_Tables_number 216
_symmetry_space_group_name_Hall 'F -4 2 3'
_cell_length_a 6.181
_cell_length_b 6.181
_cell_length_c 6.181
_cell_angle_alpha 90.00
_cell_angle_beta 90.00
_cell_angle_gamma 90.00
loop_
_atom_site_label
_atom_site_type_symbol
_atom_site_fract_x
_atom_site_fract_y
_atom_site_fract_z
_atom_site_occupancy
Be1 Be 0.123 0.123 0.123 1
Mo1 Mo 0.250 0.250 0.750 1
P1 P 0.000 0.000 0.500 1
# Energy relative to the elements: 0.015 eV per atom
# Fermi-level density of states: 0.450 states/eV/atom
# Crystal system: cubic
# Final energy: -5.1757 eV/atom

Entry 19:
# BeMoP2 PBE relaxed
data_BeMoP2
_symmetry_space_group_name_H-M 'C m m m'
_symmetry_Int_Tables_number 65
_symmetry_space_group_name_Hall '-C 2 2'
_cell_length_a 3.172
_cell_length_b 4.810
_cell_length_c 7.098
_cell_angle_alpha 90.00
_cell_angle_beta 90.00
_cell_angle_gamma 90.00
loop_
_atom_site_label
_atom_site_type_symbol
_atom_site_fract_x
_atom_site_fract_y
_atom_site_fract_z
_atom_site_occupancy
Be1 Be 0.000 0.000 0.000 1
Mo1 Mo 0.000 0.000 0.500 1
P1 P 0.000 0.500 0.232 1
# Energy relative to the elements: 0.280 eV per atom
# Fermi-level density of states: 0.689 states/eV/atom
# Crystal system: orthorhombic
# Final energy: -6.0638 eV/atom

Entry 20:
# Be2Mo2P PBE relaxed
data_Be2Mo2P
_symmetry_space_group_name_H-M 'P 4/m b m'
_symmetry_Int_Tables_number 127
_symmetry_space_group_name_Hall '-P 4 2ab'
_cell_length_a 5.855
_cell_length_b 5.855
_cell_length_c 3.307
_cell_angle_alpha 90.00
_cell_angle_beta 90.00
_cell_angle_gamma 90.00
loop_
_atom_site_label
_atom_site_type_symbol
_atom_site_fract_x
_atom_site_fract_y
_atom_site_fract_z
_atom_site_occupancy
Be1 Be 0.121 0.379 0.000 1
Mo1 Mo 0.180 0.680 0.500 1
P1 P 0.000 0.000 0.000 1
# Energy relative to the elements: -0.162 eV per atom
# Fermi-level density of states: 0.459 states/eV/atom
# Energy above the most stable polymorph in this dataset: 0 meV per atom
# Crystal system: tetragonal
# Final energy: -7.0672 eV/atom

Result set for theoretical density: 10.8, 8.9, 6.6, 11.9, 13.1, 5.8, 5.1, 5.8, 5.7, 7.4, 5.5, 5.7, 5.2, 5.3, 7.0, 7.4, 5.4, 4.6, 5.1, 7.1 g cm⁻³, one per record in the order listed.